# Ni4SnH2

Ni4SnH2 after structural relaxation (GGA-PBE, Alexandria).

Unit cell a=13.8851 b=4.0418 c=5.2111 alpha=90.00 beta=112.00 gamma=90.00
Space group C2 (No. 5)
Asymmetric unit:
Ni  0.0000  0.0001  0.0000 (multiplicity 2)
Ni  0.0000  0.0000  0.5000 (multiplicity 2)
Ni  0.1018  0.4958  0.3519 (multiplicity 4)
Ni  0.1955  0.9952  0.2022 (multiplicity 4)
Ni  0.1953  0.9959  0.6893 (multiplicity 4)
Sn  0.1100  0.4992  0.8603 (multiplicity 4)
H  0.0887  0.0557  0.3387 (multiplicity 4)
H  0.2252  0.6983  0.4753 (multiplicity 4)

As for the magnetization: 0.00 μB/f.u. The crystal system is monoclinic. The total energy is -4.943 eV/atom.